[1]
Here is an optimized crystal structure of YTeHI2 from Alexandria via LeMat-Bulk. Energies are from PBE-GGA.

Output
The space group is P4/mmm (123). The value obtained for the distance to the lowest polymorph of the same formula is 0.000 eV/atom.

Structure (POSCAR):
```
YTeHI2
1.0
6.0569 0.0000 0.0000
0.0000 6.0569 0.0000
0.0000 0.0000 5.9813
Te I Y H
1 2 1 1
direct
0.0000 0.0000 0.5000 Te
0.5000 0.0000 0.0000 I
0.0000 0.5000 0.0000 I
0.0000 0.0000 0.0000 Y
0.5000 0.5000 0.5000 H
```


[2]
Here is an optimized crystal structure of Cs3Pr2US6 from Alexandria via LeMat-Bulk. Energies are from PBE-GGA.

Output
The space group is C2/m (12). The calculation puts the uncorrected formation energy at -157.5 kJ/mol of atoms.

Structure (POSCAR):
```
Cs3Pr2US6
1.0
-6.8689 -2.1448 1.4151
5.5735 -2.8150 3.8467
-0.3102 7.6059 3.6837
S U Cs Pr
6 1 3 2
direct
0.2602 0.2602 0.8138 S
0.0621 0.3850 0.1857 S
0.6150 0.9379 0.8143 S
0.7398 0.7398 0.1862 S
0.3850 0.0621 0.1857 S
0.9379 0.6150 0.8143 S
0.0000 0.0000 0.0000 U
0.1690 0.8310 0.5000 Cs
0.5000 0.5000 0.5000 Cs
0.8310 0.1690 0.5000 Cs
0.6664 0.3336 0.0000 Pr
0.3336 0.6664 0.0000 Pr
```


[3]
Here is an optimized crystal structure of AlRh2Cl from Alexandria via LeMat-Bulk. Energies are from PBE-GGA.

Output
The space group is C2/m (12). The value obtained for the distance to the lowest polymorph of the same formula is 0.469 eV/atom. The calculation puts the uncorrected formation energy at 3.7 kJ/mol of atoms.

Structure (POSCAR):
```
AlRh2Cl
1.0
5.0835 -0.0099 -0.0044
-1.8774 4.7241 -0.0044
0.8776 1.2904 2.5440
Rh Cl Al
2 1 1
direct
0.5000 0.5000 0.0000 Rh
0.0000 0.0000 0.0000 Rh
0.0000 0.5000 0.5000 Cl
0.5000 0.0000 0.5000 Al
```


[4]
Here is an optimized crystal structure of Mn5VTc2B2 from Alexandria via LeMat-Bulk. Energies are from PBE-GGA.

Output
The space group is P4/mbm (127). The calculation puts the formation enthalpy at 0 K at -0.25 eV per atom.

Structure (POSCAR):
```
Mn5VTc2B2
1.0
-1.4866 -1.9471 1.4075
2.0134 -5.8910 -6.0231
7.0857 -2.1662 4.4873
Mn B Tc V
10 4 4 2
direct
0.5000 0.4337 0.2859 Mn
0.5000 0.0663 0.7859 Mn
0.5000 0.0000 0.5000 Mn
0.5000 0.2141 0.0663 Mn
0.5000 0.9337 0.2141 Mn
0.5000 0.2859 0.5663 Mn
0.5000 0.5663 0.7141 Mn
0.5000 0.5000 0.0000 Mn
0.5000 0.7141 0.4337 Mn
0.5000 0.7859 0.9337 Mn
0.0000 0.6229 0.8771 B
0.0000 0.3771 0.1229 B
0.0000 0.1229 0.6229 B
0.0000 0.8771 0.3771 B
0.0000 0.3224 0.8224 Tc
0.0000 0.1776 0.3224 Tc
0.0000 0.8224 0.6776 Tc
0.0000 0.6776 0.1776 Tc
0.0000 0.0000 0.0000 V
0.0000 0.5000 0.5000 V
```


[5]
Here is an optimized crystal structure of Nd5Cd4Sn from Alexandria via LeMat-Bulk. Energies are from PBE-GGA.

Output
The space group is P4/mmm (123). The calculation puts the formation enthalpy at 0 K at -0.39 eV per atom.

Structure (POSCAR):
```
Nd5Cd4Sn
1.0
-0.1115 -3.7395 0.7606
2.1826 -0.6867 -3.0561
16.1794 1.7860 11.1536
Cd Nd Sn
4 5 1
direct
0.0000 0.0000 0.7954 Cd
0.0000 0.0000 0.4001 Cd
0.0000 0.0000 0.5999 Cd
0.0000 0.0000 0.2046 Cd
0.5000 0.5000 0.8984 Nd
0.5000 0.5000 0.3009 Nd
0.5000 0.5000 0.5000 Nd
0.5000 0.5000 0.1016 Nd
0.5000 0.5000 0.6991 Nd
0.0000 0.0000 0.0000 Sn
```


[6]
Here is an optimized crystal structure of NiSnIr2 from Alexandria via LeMat-Bulk. Energies are from PBE-GGA.

Output
The space group is I-42d (122). The calculation puts the formation enthalpy at 0 K at 0.32 eV per atom.

Structure (POSCAR):
```
NiSnIr2
1.0
3.9187 0.0000 0.0000
0.0000 3.9187 0.0000
1.9593 1.9593 8.8677
Sn Ir Ni
2 4 2
direct
0.7500 0.2500 0.5000 Sn
0.0000 0.0000 0.0000 Sn
0.8750 0.8241 0.7500 Ir
0.5741 0.1250 0.2500 Ir
0.3750 0.4259 0.7500 Ir
0.1759 0.6250 0.2500 Ir
0.2500 0.7500 0.5000 Ni
0.5000 0.5000 0.0000 Ni
```


[7]
Here is an optimized crystal structure of PmPI from Alexandria via LeMat-Bulk. Energies are from PBE-GGA.

Output
The space group is C2/m (12). The value obtained for the distance to the lowest polymorph of the same formula is 0.000 eV/atom. The calculation puts the uncorrected formation energy at -119.7 kJ/mol of atoms.

Structure (POSCAR):
```
PmPI
1.0
4.8735 0.0000 0.0000
2.4368 3.8207 -0.0277
2.4368 0.1431 11.6876
P I Pm
2 2 2
direct
0.4412 0.6895 0.4281 P
0.5588 0.3105 0.5719 P
0.7348 0.7069 0.8235 I
0.2652 0.2931 0.1765 I
0.1672 0.0113 0.6544 Pm
0.8328 0.9887 0.3456 Pm
```


[8]
Here is an optimized crystal structure of GdThO3 from Alexandria via LeMat-Bulk. Energies are from PBE-GGA.

Output
The space group is Pm-3m (221). The calculation puts the uncorrected formation energy at -261.8 kJ/mol of atoms.

Structure (POSCAR):
```
GdThO3
1.0
-1.8803 2.7237 -3.1235
-4.0582 -0.5146 1.9942
0.8403 3.6093 2.6414
Th Gd O
1 1 3
direct
0.5000 0.5000 0.5000 Th
0.0000 0.0000 0.0000 Gd
0.5000 0.0000 0.5000 O
0.0000 0.5000 0.5000 O
0.5000 0.5000 0.0000 O
```


[9]
Here is an optimized crystal structure of NdZn3Cu from Alexandria via LeMat-Bulk. Energies are from PBE-GGA.

Output
The space group is Cmcm (63). The value obtained for the distance to the lowest polymorph of the same formula is 0.000 eV/atom. The calculation puts the formation enthalpy at 0 K at -0.27 eV per atom.

Structure (POSCAR):
```
NdZn3Cu
1.0
-5.7847 -1.3842 0.0262
0.0373 -0.2714 -6.1079
1.1771 -4.8620 3.0163
Cu Nd Zn
2 2 6
direct
0.7500 0.2884 0.6441 Cu
0.2500 0.7116 0.3559 Cu
0.7500 0.4813 0.2407 Nd
0.2500 0.5187 0.7593 Nd
0.5000 0.0000 0.7274 Zn
0.0000 0.0000 0.7274 Zn
0.2500 0.2566 0.1283 Zn
0.7500 0.7434 0.8717 Zn
0.0000 0.0000 0.2726 Zn
0.5000 0.0000 0.2726 Zn
```


[10]
Here is an optimized crystal structure of Tm8AgPd2 from Alexandria via LeMat-Bulk. Energies are from PBE-GGA.

Output
The space group is Cm (8). The value obtained for the distance to the lowest polymorph of the same formula is 0.099 eV/atom. The calculation puts the formation enthalpy at 0 K at -0.28 eV per atom.

Structure (POSCAR):
```
Tm8AgPd2
1.0
-3.5494 2.9403 -2.9982
5.4479 -1.2690 -5.4896
-4.5879 -6.1478 1.6068
Tm Pd Ag
8 2 1
direct
0.9996 0.2351 0.7711 Tm
0.4049 0.6713 0.9209 Tm
0.5940 0.3350 0.0854 Tm
0.4049 0.9209 0.6713 Tm
0.9996 0.7711 0.2351 Tm
0.5940 0.0854 0.3350 Tm
0.8112 0.6235 0.6235 Tm
0.1877 0.3826 0.3826 Tm
0.4997 0.3063 0.7000 Pd
0.4997 0.7000 0.3063 Pd
0.0044 0.0029 0.0029 Ag
```


[11]
Here is an optimized crystal structure of YAg2 from Alexandria via LeMat-Bulk. Energies are from PBE-GGA.

Output
The space group is Fd-3m (227). The calculation puts the formation enthalpy at 0 K at -0.18 eV per atom.

Structure (POSCAR):
```
YAg2
1.0
0.0000 4.0383 4.0383
4.0383 0.0000 4.0383
4.0383 4.0383 0.0000
Ag Y
4 2
direct
0.1250 0.1250 0.6250 Ag
0.6250 0.1250 0.1250 Ag
0.1250 0.6250 0.1250 Ag
0.1250 0.1250 0.1250 Ag
0.5000 0.5000 0.5000 Y
0.7500 0.7500 0.7500 Y
```


[12]
Here is an optimized crystal structure of Tm8AgPd2 from Alexandria via LeMat-Bulk. Energies are from PBE-GGA.

Output
The space group is C2/m (12). The value obtained for the distance to the lowest polymorph of the same formula is 0.000 eV/atom. The calculation puts the formation enthalpy at 0 K at -0.38 eV per atom.

Structure (POSCAR):
```
Tm8AgPd2
1.0
-3.9760 2.3289 -1.9882
-0.2335 -4.6194 -4.9442
-3.0411 -4.2986 7.3802
Tm Pd Ag
8 2 1
direct
0.4071 0.5336 0.8143 Tm
0.2015 0.3258 0.4030 Tm
0.5929 0.4664 0.1857 Tm
0.7985 0.6742 0.5970 Tm
0.9670 0.2262 0.9340 Tm
0.6709 0.9779 0.3418 Tm
0.3291 0.0221 0.6582 Tm
0.0330 0.7738 0.0660 Tm
0.1864 0.7242 0.3729 Pd
0.8136 0.2758 0.6271 Pd
0.5000 0.0000 0.0000 Ag
```